PBE CaPa2S5, optimized geometry; crystal system = orthorhombic; energy relative to the elements, uncorrected = -13.4 eV/f.u.
1.0
7.3156 0.0000 -0.0001
0.0000 7.8023 0.0000
-0.0001 0.0000 12.0436
S Ca Pa
20 4 8
Cartesian
3.8341 5.8517 12.0231
2.4820 7.5085 7.3886
5.1748 5.8517 8.5782
1.1757 7.5085 1.3670
1.3415 5.8517 9.8011
1.5169 1.9506 9.4870
3.4815 1.9506 0.0204
0.1763 1.9506 6.0422
5.7987 5.8517 2.5566
4.8335 0.2938 4.6550
7.1393 5.8517 6.0013
5.9740 1.9506 2.2424
1.1757 4.1949 1.3670
4.8335 3.6073 4.6550
2.1408 1.9506 3.4653
2.4820 4.1950 7.3886
6.1399 0.2938 10.6765
4.9995 1.9506 8.2640
6.1399 3.6074 10.6765
2.3161 5.8517 3.7795
0.5083 1.9506 0.0600
6.8072 5.8517 11.9836
4.1662 5.8517 5.9618
3.1494 1.9506 6.0817
3.7157 3.9001 2.1702
7.2576 3.9001 8.1917
0.0580 3.9022 3.8518
3.5999 7.8013 9.8733
7.2576 0.0010 8.1917
3.7157 0.0010 2.1702
3.5999 3.9022 9.8733
0.0580 7.8012 3.8518

PBE LaBi4Rh4, optimized geometry; crystal system = tetragonal; raw total energy = -0.425 Ry per atom
1.0
-5.1553 0.7242 -1.6930
-2.8171 -6.1538 5.9459
-1.1165 6.4707 6.1679
Rh Bi La
8 8 2
Cartesian
-3.7309 -0.6680 9.4351
-6.4531 4.5424 5.5325
-3.3864 -0.5985 2.8454
-6.8357 -2.9113 3.5092
-4.3632 3.1730 4.1529
-5.6811 -1.9977 5.9542
-1.1581 1.1191 2.3651
-4.7472 1.5054 7.8892
-3.7235 1.9463 1.7332
-6.2899 -0.7753 8.3841
-1.5978 3.0071 4.5649
-4.0631 3.9841 6.8135
-3.2602 -2.5603 7.2454
-7.3435 2.3370 7.2472
-5.9763 -0.7015 1.7843
-4.1013 -3.0729 3.9110
0.0000 0.0000 0.0000
-4.5444 0.5205 5.2104

PBE Cu3MoSe, optimized geometry; crystal system = cubic; relative energy among the computed polymorphs = 0.000 eV per atom; energy relative to the elements, uncorrected = 5.5 eV/f.u.
1.0
4.5033 0.0000 0.0000
0.0000 4.5033 0.0000
0.0000 0.0000 4.5033
Mo Se Cu
1 1 3
Cartesian
2.2516 2.2516 2.2516
0.0000 0.0000 0.0000
0.0000 0.0000 2.2516
2.2516 0.0000 0.0000
0.0000 2.2516 0.0000

PBE CaTc2Mo, optimized geometry; crystal system = tetragonal; relative energy among the computed polymorphs = 0.156 eV per atom
1.0
-1.9895 0.4836 -2.0574
-1.9461 -1.5132 1.5324
-2.4217 7.1999 4.0342
Tc Mo Ca
2 1 1
Cartesian
-2.4547 0.9329 0.5486
-0.0480 0.1426 0.0799
-3.8940 5.2121 2.9463
-1.1714 3.4828 1.9515

PBE B2C3, optimized geometry; crystal system = trigonal; relative energy among the computed polymorphs = 0.102 eV per atom
1.0
-6.9528 2.0425 -8.7165
-5.4979 0.2798 -9.9089
-7.5096 -0.4633 -8.4784
C B
6 4
Cartesian
-8.9084 0.8297 -12.0966
-15.8768 1.4787 -21.5589
-5.0244 0.4680 -6.8226
-13.0517 1.2156 -17.7227
-8.0068 0.7457 -10.8723
-19.9522 1.8583 -27.0929
-4.1054 0.3824 -5.5747
-0.9937 0.0925 -1.3493
-16.8140 1.5660 -22.8315
-12.0580 1.1231 -16.3735

PBE NbPdSe2, optimized geometry; crystal system = trigonal; relative energy among the computed polymorphs = 0.094 eV per atom; energy relative to the elements, uncorrected = -1.9 eV/f.u.
1.0
3.5946 0.0000 0.0000
1.7973 3.1130 0.0000
1.7973 1.0377 6.9587
Nb Se Pd
1 2 1
Cartesian
3.5946 2.0754 3.3368
1.7973 1.0377 5.0328
1.7973 1.0377 1.7716
3.5946 2.0754 0.2969

PBE LiInSb, optimized geometry; crystal system = orthorhombic; relative energy among the computed polymorphs = 0.111 eV per atom; energy relative to the elements, uncorrected = -0.5 eV/f.u.
1.0
-6.5956 -0.8096 2.6717
-6.8386 -2.1066 -0.2746
0.0971 -2.9542 1.2981
Sb Li In
1 1 1
Cartesian
-9.2073 -2.9281 2.0538
-4.3505 -2.9417 1.6593
-13.2134 -2.9168 2.3792

PBE CsGaAgTe3, optimized geometry; crystal system = monoclinic; energy relative to the elements, uncorrected = -2.2 eV/f.u.
1.0
-1.5406 -3.8094 -1.0232
8.5211 -2.1253 -4.9174
0.9169 -3.2935 10.8813
Ga Te Ag Cs
2 6 2 2
Cartesian
0.9699 -3.2037 6.0856
6.9274 -6.0246 -1.1449
1.5916 -4.0868 8.4374
3.3080 -4.5072 -1.3446
0.9245 -4.9894 4.0397
6.3057 -5.1415 -3.4968
4.5893 -4.7211 6.2853
6.9728 -4.2388 0.9010
2.6828 -6.5855 7.3345
5.2145 -2.6427 -2.3938
6.2375 -7.0888 3.8561
1.6598 -2.1394 1.0846

PBE Hg3W, optimized geometry; crystal system = orthorhombic; relative energy among the computed polymorphs = 0.268 eV per atom
1.0
4.9933 0.0000 0.0000
-2.4966 6.7550 -0.0172
0.0000 0.6125 2.7936
W Hg
1 3
Cartesian
2.4966 3.8369 2.0866
2.4966 1.0682 1.2297
2.4966 5.9931 0.1499
0.0000 3.5306 0.6898

PBE ZrP2PbO8, optimized geometry; crystal system = trigonal; energy relative to the elements, uncorrected = -28.7 eV/f.u.
1.0
4.9726 0.0000 0.0000
2.4863 4.3064 0.0000
2.4863 1.4355 7.5062
P Pb O Zr
2 1 8 1
Cartesian
2.4863 1.4355 1.8017
7.4589 4.3064 5.7045
4.9726 2.8709 3.7531
2.4863 1.4355 3.3314
5.9981 4.4005 6.2381
4.1607 4.5238 1.2681
7.4589 4.3064 4.1748
5.7845 1.2180 6.2381
3.1352 2.9943 6.2381
6.8100 2.7476 1.2681
3.9471 1.3414 1.2681
0.0000 0.0000 0.0000

PBE Y2ZrIn, optimized geometry; crystal system = monoclinic; relative energy among the computed polymorphs = 0.020 eV per atom
1.0
6.2807 0.0127 0.0650
5.3019 3.3670 0.0650
2.1201 0.6186 5.1742
In Y Zr
1 2 1
Cartesian
10.5512 3.0787 4.2715
3.4332 1.0018 1.6205
2.2162 0.6467 4.7904
6.4735 1.8889 2.4482

PBE AcSiNiPt6, optimized geometry; crystal system = orthorhombic; energy relative to the elements, uncorrected = -3.1 eV/f.u.
1.0
7.5651 0.0000 0.0000
0.0000 8.4558 0.0000
-3.7826 -4.2279 5.7036
Pt Ni Ac Si
12 2 2 2
Cartesian
0.0000 6.3419 1.3768
-1.8320 4.3680 4.2819
3.7826 -2.1140 4.3268
5.6146 -0.1401 1.4218
1.9506 -0.1401 1.4218
1.9506 4.3680 1.4218
1.8320 4.3680 4.2819
1.8320 -0.1401 4.2819
5.6146 4.3680 1.4218
-1.8320 -0.1401 4.2819
3.7826 2.1140 1.0936
0.0000 2.1140 4.6100
1.8913 -2.1140 2.8518
-1.8913 -2.1140 2.8518
3.7826 2.1140 4.1161
0.0000 2.1140 1.5875
3.7826 0.0000 0.0000
3.7826 4.2279 0.0000

| no. | Fermi-level density of states (states/eV/f.u.) | size of the total moment (μB/cell) |
| --- | --- | --- |
| 1 | 6.4 | 5.58 |
| 2 | 5.6 | 0.00 |
| 3 | 3.1 | 3.25 |
| 4 | 4.4 | 0.00 |
| 5 | 0.5 | 0.00 |
| 6 | 3.7 | 0.00 |
| 7 | 0.8 | 0.00 |
| 8 | 5.1 | 0.00 |
| 9 | 3.6 | 1.15 |
| 10 | 0.0 | 0.00 |
| 11 | 3.3 | 0.00 |
| 12 | 6.7 | 0.02 |